No. 1
## GdCdNi (PBE)

Data for crystalline GdCdNi at its relaxed geometry.

Computed properties:
The calculation puts the calculated total energy at -3.942 eV/atom. The calculation puts the energy relative to the elements at -237 meV per atom. The calculation puts the mass density at 8151 kg/m³. The spin magnetization is 0.00 Bohr magnetons per cell. The calculation puts the calculated volume at 66.9 Å³ per cell. The space-group type is F-43m (216).

Lattice parameters (Å, degrees): 4.5566 4.5566 4.5566 60.00 60.00 60.00
Closest atoms and distances in Å follow each position.
Sites, in units of the cell vectors:
Gd  0.0000  0.0000  0.0000  4 Ni 2.79
Cd  0.5000  0.5000  0.5000  4 Ni 2.79
Ni  0.7500  0.7500  0.7500  4 Cd 2.79, 4 Gd 2.79


No. 2
## CdCu17 (PBE)

Data for crystalline CdCu17 at its relaxed geometry.

Computed properties:
The calculation puts the calculated total energy at -3.477 eV/atom. The calculation puts the energy relative to the elements at 84 meV per atom. The calculation puts the mass density at 5648 kg/m³. The calculation puts the calculated volume at 701.3 Å³ per cell. The space-group type is P2_1/m (11).

Lattice parameters (Å, degrees): 4.4031 5.1018 31.2182 90.00 90.01 90.00
Closest atoms and distances in Å follow each position.
Sites, in units of the cell vectors:
Cd  0.1670  0.2500  0.2075  6 Cu 2.67-2.68
Cd  0.8330  0.7500  0.7925  6 Cu 2.67-2.68
Cu  0.0000  0.0000  0.5000  12 Cu 2.54-2.55
Cu  0.9997  0.0019  0.2997  11 Cu 2.53-2.57
Cu  0.9997  0.4981  0.2997  11 Cu 2.53-2.57
Cu  0.0000  0.5000  0.5000  12 Cu 2.54-2.55
Cu  0.0003  0.5019  0.7003  11 Cu 2.53-2.57
Cu  0.0003  0.9981  0.7003  11 Cu 2.53-2.57
Cu  0.1655  0.7500  0.2331  7 Cu 2.53-2.55, 2 Cd 2.67
Cu  0.1658  0.7500  0.6333  12 Cu 2.54-2.56
Cu  0.1666  0.2500  0.4335  12 Cu 2.54-2.56
Cu  0.1665  0.7500  0.4334  12 Cu 2.54-2.56
Cu  0.1677  0.2500  0.6330  12 Cu 2.54-2.57
Cu  0.3332  0.0004  0.3665  12 Cu 2.54-2.56
Cu  0.3332  0.0049  0.7671  7 Cu 2.50-2.60, 2 Cd 2.68
Cu  0.3332  0.4951  0.7671  7 Cu 2.50-2.60, 2 Cd 2.68
Cu  0.3332  0.4996  0.3665  12 Cu 2.54-2.56
Cu  0.3343  0.5007  0.5664  12 Cu 2.54-2.56
Cu  0.3343  0.9993  0.5664  12 Cu 2.54-2.56
Cu  0.4993  0.7500  0.3000  12 Cu 2.55
Cu  0.4994  0.7500  0.7006  11 Cu 2.54-2.56
Cu  0.5000  0.2500  0.5001  12 Cu 2.54-2.55
Cu  0.5000  0.7500  0.4999  12 Cu 2.54-2.55
Cu  0.5006  0.2500  0.2994  11 Cu 2.54-2.56
Cu  0.5007  0.2500  0.7000  12 Cu 2.55
Cu  0.6657  0.0007  0.4336  12 Cu 2.54-2.56
Cu  0.6657  0.4993  0.4336  12 Cu 2.54-2.56
Cu  0.6668  0.9996  0.6335  12 Cu 2.54-2.56
Cu  0.6668  0.5004  0.6335  12 Cu 2.54-2.56
Cu  0.6668  0.5049  0.2329  7 Cu 2.50-2.60, 2 Cd 2.68
Cu  0.6668  0.9951  0.2329  7 Cu 2.50-2.60, 2 Cd 2.68
Cu  0.8323  0.7500  0.3670  12 Cu 2.54-2.57
Cu  0.8335  0.2500  0.5666  12 Cu 2.54-2.56
Cu  0.8334  0.7500  0.5665  12 Cu 2.54-2.56
Cu  0.8342  0.2500  0.3667  12 Cu 2.54-2.56
Cu  0.8345  0.2500  0.7669  7 Cu 2.53-2.55, 2 Cd 2.67


No. 3
## PrHoB (PBE)

Data for crystalline PrHoB at its relaxed geometry.

Computed properties:
The calculation puts the calculated total energy at -5.178 eV/atom. The calculation puts the mass density at 7550 kg/m³. The spin magnetization is 0.15 Bohr magnetons per cell. The calculation puts the calculated volume at 69.6 Å³ per cell. The space-group type is F-43m (216). As for the excess energy over the best structure of this formula in the dataset: 0.000 eV/atom.

Lattice parameters (Å, degrees): 4.6182 4.6182 4.6182 60.00 60.00 60.00
Closest atoms and distances in Å follow each position.
Sites, in units of the cell vectors:
Pr  0.0000  0.0000  0.0000  4 B 2.83
Ho  0.5000  0.5000  0.5000  4 B 2.83
B  0.7500  0.7500  0.7500  4 Ho 2.83, 4 Pr 2.83


No. 4
## TaBeSiTc (PBE)

Data for crystalline TaBeSiTc at its relaxed geometry.

Computed properties:
The calculation puts the calculated total energy at -7.899 eV/atom. The calculation puts the mass density at 9566 kg/m³. The spin magnetization is 0.00 Bohr magnetons per cell. The calculation puts the calculated volume at 54.9 Å³ per cell. The space-group type is F-43m (216). As for the excess energy over the best structure of this formula in the dataset: 0.124 eV/atom.

Lattice parameters (Å, degrees): 4.2651 4.2651 4.2651 60.00 60.00 60.00
Closest atoms and distances in Å follow each position.
Sites, in units of the cell vectors:
Ta  0.0000  0.0000  0.0000  4 Tc 2.61, 4 Si 2.61
Be  0.5000  0.5000  0.5000  4 Tc 2.61, 4 Si 2.61
Si  0.2500  0.2500  0.2500  4 Be 2.61, 4 Ta 2.61
Tc  0.7500  0.7500  0.7500  4 Be 2.61, 4 Ta 2.61


No. 5
## KRb2NbBr6 (PBE)

Data for crystalline KRb2NbBr6 at its relaxed geometry.

Computed properties:
The calculation puts the calculated total energy at -3.645 eV/atom. The calculation puts the mass density at 3405 kg/m³. The spin magnetization is 2.00 Bohr magnetons per cell. The calculation puts the calculated volume at 381.5 Å³ per cell. The space-group type is Fm-3m (225).

Lattice parameters (Å, degrees): 8.1408 8.1408 8.1408 60.00 60.00 60.00
Closest atoms and distances in Å follow each position.
Sites, in units of the cell vectors:
K  0.0000  0.0000  0.0000  6 Br 3.11
Rb  0.2500  0.2500  0.2500  12 Br 4.08
Rb  0.7500  0.7500  0.7500  12 Br 4.08
Nb  0.5000  0.5000  0.5000  6 Br 2.65
Br  0.2700  0.2700  0.7300  1 Nb 2.65
Br  0.2700  0.7300  0.2700  1 Nb 2.65
Br  0.2700  0.7300  0.7300  1 Nb 2.65
Br  0.7300  0.2700  0.2700  1 Nb 2.65
Br  0.7300  0.2700  0.7300  1 Nb 2.65
Br  0.7300  0.7300  0.2700  1 Nb 2.65


No. 6
## Sc2Al3GaPt2 (PBE)

Data for crystalline Sc2Al3GaPt2 at its relaxed geometry.

Computed properties:
The calculation puts the calculated total energy at -5.835 eV/atom. The calculation puts the mass density at 7527 kg/m³. The spin magnetization is 0.00 Bohr magnetons per cell. The calculation puts the calculated volume at 139.2 Å³ per cell. The space-group type is Cm (8).

Lattice parameters (Å, degrees): 5.3306 5.3306 6.7641 90.29 90.29 46.39
Closest atoms and distances in Å follow each position.
Sites, in units of the cell vectors:
Sc  0.0000  0.0000  0.0000  3 Pt 2.79-2.97, 5 Al 2.98-3.11
Sc  0.1521  0.1521  0.5031  3 Pt 2.76-3.00, 2 Ga 2.93, 2 Al 3.01
Al  0.4376  0.4376  0.7004  3 Pt 2.53-2.58, 1 Ga 2.68, 1 Al 2.70
Al  0.4388  0.4388  0.3009  3 Pt 2.52-2.59, 2 Al 2.70-2.80
Al  0.7148  0.7148  0.1983  3 Pt 2.55-2.58, 1 Ga 2.72, 1 Al 2.80
Ga  0.7034  0.7034  0.7968  3 Pt 2.59-2.64, 2 Al 2.68-2.72
Pt  0.2851  0.2851  0.0013  4 Al 2.52-2.58, 2 Ga 2.64, 1 Sc 2.79
Pt  0.8705  0.8705  0.5015  5 Al 2.55-2.59, 1 Ga 2.59, 1 Sc 2.76


No. 7
## KAgGe (PBE)

Data for crystalline KAgGe at its relaxed geometry.

Computed properties:
The calculation puts the calculated total energy at -2.900 eV/atom. The calculation puts the mass density at 4800 kg/m³. The calculation puts the calculated volume at 151.9 Å³ per cell. The space-group type is Imm2 (44). As for the excess energy over the best structure of this formula in the dataset: 0.000 eV/atom.

Lattice parameters (Å, degrees): 6.1154 6.1154 6.1154 133.75 98.57 99.18
Closest atoms and distances in Å follow each position.
Sites, in units of the cell vectors:
K  0.0000  0.0000  0.0000  6 Ag 3.28-3.38, 2 Ge 3.49, 2 K 3.64
K  0.6549  0.1549  0.5000  6 Ge 3.33-3.41, 6 Ag 3.54-3.63, 2 K 3.64
Ag  0.0521  0.7361  0.3160  3 Ge 2.78-2.87, 1 Ag 2.94
Ag  0.4201  0.7361  0.6840  3 Ge 2.78-2.87, 1 Ag 2.94
Ge  0.2539  0.4113  0.8426  1 Ge 2.51, 2 Ag 2.78
Ge  0.5687  0.4113  0.1574  1 Ge 2.51, 2 Ag 2.78


No. 8
## YPuZr (PBE)

Data for crystalline YPuZr at its relaxed geometry.

Computed properties:
The calculation puts the calculated total energy at -8.765 eV/atom. The calculation puts the energy relative to the elements at 948 meV per atom. The calculation puts the mass density at 8285 kg/m³. The spin magnetization is 7.30 Bohr magnetons per cell. The calculation puts the calculated volume at 85.0 Å³ per cell. The space-group type is F-43m (216). As for the excess energy over the best structure of this formula in the dataset: 0.000 eV/atom.

Lattice parameters (Å, degrees): 4.9354 4.9354 4.9354 60.00 60.00 60.00
Closest atoms and distances in Å follow each position.
Sites, in units of the cell vectors:
Y  0.0000  0.0000  0.0000  4 Pu 3.02
Pu  0.2500  0.2500  0.2500  4 Zr 3.02, 4 Y 3.02
Zr  0.5000  0.5000  0.5000  4 Pu 3.02